(w)
The following is a DFT calculation (PBE) of a relaxed structure of MoOs2N.

Calculated values
N(E_F) = 0.89 states/eV/atom

a = 5.083 Å, b = 5.083 Å, c = 10.025 Å
α = 90.00°, β = 90.00°, γ = 90.00°
Space group I-42d (No. 122)
One atom of each set of equivalent atoms:
Mo (0.000, 0.000, 0.000) [4 per cell]
Os (0.164, 0.250, 0.625) [8 per cell]
N (0.000, 0.000, 0.500) [4 per cell]

***

(x)
The following is a DFT calculation (PBE) of a relaxed structure of MoOs2N.

Calculated values
N(E_F) = 1.14 states/eV/atom

a = 6.013 Å, b = 6.013 Å, c = 6.013 Å
α = 90.00°, β = 90.00°, γ = 90.00°
Space group Fm-3m (No. 225)
One atom of each set of equivalent atoms:
Mo (0.000, 0.000, 0.000) [4 per cell]
Os (0.250, 0.250, 0.250) [8 per cell]
N (0.000, 0.000, 0.500) [4 per cell]

***

(w) wins, 0.732 eV/atom ahead of the next structure.

***

(w)
The following is a DFT calculation (PBE) of a relaxed structure of MoOsN2.

Calculated values
N(E_F) = 0.68 states/eV/atom

a = 4.786 Å, b = 4.786 Å, c = 8.625 Å
α = 90.00°, β = 90.00°, γ = 90.00°
Space group I-42d (No. 122)
One atom of each set of equivalent atoms:
Mo (0.000, 0.000, 0.000) [4 per cell]
Os (0.000, 0.000, 0.500) [4 per cell]
N (0.248, 0.250, 0.625) [8 per cell]

***

(x)
The following is a DFT calculation (PBE) of a relaxed structure of MoOsN2.

Calculated values
N(E_F) = 0.56 states/eV/atom

a = 2.7956 Å, b = 2.7956 Å, c = 19.9952 Å
α = 90.00°, β = 90.00°, γ = 120.00°
Space group R-3m (No. 166, hexagonal axes)
One atom of each set of equivalent atoms:
Mo (0.0000, 0.0000, 0.0000) [3 per cell]
Os (0.0000, 0.0000, 0.5000) [3 per cell]
N (0.0000, 0.0000, 0.4022) [6 per cell]

***

(x) wins, 0.119 eV/atom ahead of the next structure.

***

(w)
The following is a DFT calculation (PBE) of a relaxed structure of TeMoOsN2.

Calculated values
N(E_F) = 0.73 states/eV/atom

a = 3.863 Å, b = 3.863 Å, c = 5.879 Å
α = 90.00°, β = 90.00°, γ = 90.00°
Space group P4/mmm (No. 123)
One atom of each set of equivalent atoms:
Te (0.000, 0.000, 0.000) [1 per cell]
Mo (0.500, 0.500, 0.000) [1 per cell]
Os (0.000, 0.000, 0.500) [1 per cell]
N (0.000, 0.500, 0.500) [2 per cell]

***

(x)
The following is a DFT calculation (PBE) of a relaxed structure of TeMoOsN2.

Calculated values
N(E_F) = 0.83 states/eV/atom

a = 3.888 Å, b = 3.888 Å, c = 5.837 Å
α = 90.00°, β = 90.00°, γ = 90.00°
Space group P4/mmm (No. 123)
One atom of each set of equivalent atoms:
Te (0.000, 0.000, 0.000) [1 per cell]
Mo (0.000, 0.000, 0.500) [1 per cell]
Os (0.500, 0.500, 0.000) [1 per cell]
N (0.000, 0.500, 0.500) [2 per cell]

***

(w) wins, 0.143 eV/atom ahead of the next structure.

***

(w)
The following is a DFT calculation (PBE) of a relaxed structure of Mo3PN.

Calculated values
N(E_F) = 0.91 states/eV/atom

a = 4.079 Å, b = 4.079 Å, c = 4.079 Å
α = 90.00°, β = 90.00°, γ = 90.00°
Space group Pm-3m (No. 221)
One atom of each set of equivalent atoms:
Mo (0.000, 0.000, 0.500) [3 per cell]
P (0.500, 0.500, 0.500) [1 per cell]
N (0.000, 0.000, 0.000) [1 per cell]

***

(x)
The following is a DFT calculation (PBE) of a relaxed structure of Mo3PN.

Calculated values
N(E_F) = 0.66 states/eV/atom

a = 5.334 Å, b = 12.315 Å, c = 4.131 Å
α = 90.00°, β = 90.00°, γ = 90.00°
Space group Cmmm (No. 65)
One atom of each set of equivalent atoms:
Mo (0.000, 0.114, 0.000) [4 per cell]
Mo (0.233, 0.500, 0.500) [4 per cell]
Mo (0.250, 0.250, 0.500) [4 per cell]
P (0.000, 0.359, 0.000) [4 per cell]
N (0.000, 0.121, 0.500) [4 per cell]

***

(x) wins, 0.091 eV/atom ahead of the next structure.

***

(w)
The following is a DFT calculation (PBE) of a relaxed structure of Mo2PN.

Calculated values
N(E_F) = 1.05 states/eV/atom

a = 4.847 Å, b = 4.847 Å, c = 10.674 Å
α = 90.00°, β = 90.00°, γ = 90.00°
Space group I-42d (No. 122)
One atom of each set of equivalent atoms:
Mo (0.183, 0.250, 0.125) [8 per cell]
P (0.000, 0.000, 0.500) [4 per cell]
N (0.000, 0.000, 0.000) [4 per cell]

***

(x)
The following is a DFT calculation (PBE) of a relaxed structure of Mo2PN.

Calculated values
N(E_F) = 1.04 states/eV/atom

a = 5.783 Å, b = 5.783 Å, c = 5.783 Å
α = 90.00°, β = 90.00°, γ = 90.00°
Space group Fm-3m (No. 225)
One atom of each set of equivalent atoms:
Mo (0.250, 0.250, 0.250) [8 per cell]
P (0.000, 0.000, 0.000) [4 per cell]
N (0.000, 0.000, 0.500) [4 per cell]

***

(w) wins, 0.227 eV/atom ahead of the next structure.

***

(w)
The following is a DFT calculation (PBE) of a relaxed structure of MoPS2N.

Calculated values
N(E_F) = 0.74 states/eV/atom

a = 4.804 Å, b = 4.804 Å, c = 3.762 Å
α = 90.00°, β = 90.00°, γ = 90.00°
Space group P4/mmm (No. 123)
One atom of each set of equivalent atoms:
Mo (0.000, 0.000, 0.000) [1 per cell]
P (0.500, 0.500, 0.500) [1 per cell]
S (0.000, 0.500, 0.000) [2 per cell]
N (0.000, 0.000, 0.500) [1 per cell]

***

(x)
The following is a DFT calculation (PBE) of a relaxed structure of MoPS2N.

Calculated values
N(E_F) = 0.48 states/eV/atom

a = 4.670 Å, b = 4.670 Å, c = 3.218 Å
α = 90.00°, β = 90.00°, γ = 90.00°
Space group P4/mmm (No. 123)
One atom of each set of equivalent atoms:
Mo (0.000, 0.000, 0.000) [1 per cell]
P (0.500, 0.500, 0.500) [1 per cell]
S (0.000, 0.500, 0.500) [2 per cell]
N (0.500, 0.500, 0.000) [1 per cell]

***

(w) wins, 0.105 eV/atom ahead of the next structure.

***

(w)
The following is a DFT calculation (PBE) of a relaxed structure of MoPSeN2.

Calculated values
N(E_F) = 0.62 states/eV/atom

a = 3.870 Å, b = 3.870 Å, c = 5.450 Å
α = 90.00°, β = 90.00°, γ = 90.00°
Space group P4/mmm (No. 123)
One atom of each set of equivalent atoms:
Mo (0.000, 0.000, 0.000) [1 per cell]
P (0.500, 0.500, 0.500) [1 per cell]
Se (0.000, 0.000, 0.500) [1 per cell]
N (0.000, 0.500, 0.000) [2 per cell]

***

(x)
The following is a DFT calculation (PBE) of a relaxed structure of MoPSeN2.

Calculated values
N(E_F) = 0.58 states/eV/atom

a = 3.446 Å, b = 3.446 Å, c = 7.074 Å
α = 90.00°, β = 90.00°, γ = 90.00°
Space group P4/mmm (No. 123)
One atom of each set of equivalent atoms:
Mo (0.000, 0.000, 0.000) [1 per cell]
P (0.500, 0.500, 0.500) [1 per cell]
Se (0.500, 0.500, 0.000) [1 per cell]
N (0.000, 0.500, 0.500) [2 per cell]

***

(w) wins, 0.393 eV/atom ahead of the next structure.

***

(w)
The following is a DFT calculation (PBE) of a relaxed structure of MoPSe2N.

Calculated values
N(E_F) = 0.75 states/eV/atom

a = 5.047 Å, b = 5.047 Å, c = 3.764 Å
α = 90.00°, β = 90.00°, γ = 90.00°
Space group P4/mmm (No. 123)
One atom of each set of equivalent atoms:
Mo (0.000, 0.000, 0.000) [1 per cell]
P (0.500, 0.500, 0.500) [1 per cell]
Se (0.000, 0.500, 0.000) [2 per cell]
N (0.000, 0.000, 0.500) [1 per cell]

***

(x)
The following is a DFT calculation (PBE) of a relaxed structure of MoPSe2N.

Calculated values
N(E_F) = 0.60 states/eV/atom

a = 4.976 Å, b = 4.976 Å, c = 3.257 Å
α = 90.00°, β = 90.00°, γ = 90.00°
Space group P4/mmm (No. 123)
One atom of each set of equivalent atoms:
Mo (0.000, 0.000, 0.000) [1 per cell]
P (0.500, 0.500, 0.500) [1 per cell]
Se (0.000, 0.500, 0.500) [2 per cell]
N (0.500, 0.500, 0.000) [1 per cell]

***

(w) wins, 0.190 eV/atom ahead of the next structure.

***

(w)
The following is a DFT calculation (PBE) of a relaxed structure of Mo2PbN.

Calculated values
N(E_F) = 1.35 states/eV/atom

a = 6.683 Å, b = 6.683 Å, c = 5.896 Å
α = 90.00°, β = 90.00°, γ = 90.00°
Space group I-42d (No. 122)
One atom of each set of equivalent atoms:
Mo (0.130, 0.750, 0.125) [8 per cell]
Pb (0.000, 0.000, 0.500) [4 per cell]
N (0.000, 0.000, 0.000) [4 per cell]

***

(x)
The following is a DFT calculation (PBE) of a relaxed structure of Mo2PbN.

Calculated values
N(E_F) = 1.14 states/eV/atom

a = 6.316 Å, b = 6.316 Å, c = 6.316 Å
α = 90.00°, β = 90.00°, γ = 90.00°
Space group Fm-3m (No. 225)
One atom of each set of equivalent atoms:
Mo (0.250, 0.250, 0.250) [8 per cell]
Pb (0.000, 0.000, 0.000) [4 per cell]
N (0.000, 0.000, 0.500) [4 per cell]

***

(w) wins, 1.145 eV/atom ahead of the next structure.

***

(w)
The following is a DFT calculation (PBE) of a relaxed structure of Mo2PbN2.

Calculated values
N(E_F) = 0.61 states/eV/atom

a = 3.600 Å, b = 3.600 Å, c = 10.810 Å
α = 90.00°, β = 90.00°, γ = 90.00°
Space group I4/mmm (No. 139)
One atom of each set of equivalent atoms:
Mo (0.000, 0.000, 0.153) [4 per cell]
Pb (0.000, 0.000, 0.500) [2 per cell]
N (0.000, 0.500, 0.250) [4 per cell]

***

(x)
The following is a DFT calculation (PBE) of a relaxed structure of Mo2PbN2.

Calculated values
N(E_F) = 0.63 states/eV/atom

a = 7.189 Å, b = 7.189 Å, c = 2.837 Å
α = 90.00°, β = 90.00°, γ = 90.00°
Space group P4/mbm (No. 127)
One atom of each set of equivalent atoms:
Mo (0.120, 0.380, 0.000) [4 per cell]
Pb (0.000, 0.000, 0.000) [2 per cell]
N (0.115, 0.615, 0.500) [4 per cell]

***

(w) wins, 0.548 eV/atom ahead of the next structure.

***

(w)
The following is a DFT calculation (PBE) of a relaxed structure of Mo3PdN.

Calculated values
N(E_F) = 0.66 states/eV/atom

a = 5.822 Å, b = 11.422 Å, c = 4.133 Å
α = 90.00°, β = 90.00°, γ = 90.00°
Space group Cmmm (No. 65)
One atom of each set of equivalent atoms:
Mo (0.000, 0.127, 0.000) [4 per cell]
Mo (0.227, 0.500, 0.500) [4 per cell]
Mo (0.250, 0.250, 0.500) [4 per cell]
Pd (0.000, 0.376, 0.000) [4 per cell]
N (0.000, 0.118, 0.500) [4 per cell]

***

(x)
The following is a DFT calculation (PBE) of a relaxed structure of Mo3PdN.

Calculated values
N(E_F) = 1.05 states/eV/atom

a = 4.710 Å, b = 4.710 Å, c = 4.710 Å
α = 90.00°, β = 90.00°, γ = 90.00°
Space group Pm-3m (No. 221)
One atom of each set of equivalent atoms:
Mo (0.000, 0.000, 0.500) [3 per cell]
Pd (0.000, 0.000, 0.000) [1 per cell]
N (0.500, 0.500, 0.500) [1 per cell]

***

(w) wins, 3.215 eV/atom ahead of the next structure.

***

(w)
The following is a DFT calculation (PBE) of a relaxed structure of MoPdSN2.

Calculated values
N(E_F) = 0.62 states/eV/atom

a = 3.847 Å, b = 3.847 Å, c = 5.119 Å
α = 90.00°, β = 90.00°, γ = 90.00°
Space group P4/mmm (No. 123)
One atom of each set of equivalent atoms:
Mo (0.000, 0.000, 0.000) [1 per cell]
Pd (0.500, 0.500, 0.500) [1 per cell]
S (0.000, 0.000, 0.500) [1 per cell]
N (0.000, 0.500, 0.000) [2 per cell]

***

(x)
The following is a DFT calculation (PBE) of a relaxed structure of MoPdSN2.

Calculated values
N(E_F) = 0.51 states/eV/atom

a = 3.941 Å, b = 3.941 Å, c = 4.809 Å
α = 90.00°, β = 90.00°, γ = 90.00°
Space group P4/mmm (No. 123)
One atom of each set of equivalent atoms:
Mo (0.000, 0.000, 0.000) [1 per cell]
Pd (0.500, 0.500, 0.500) [1 per cell]
S (0.500, 0.500, 0.000) [1 per cell]
N (0.000, 0.500, 0.500) [2 per cell]

***

(w) wins, 1.048 eV/atom ahead of the next structure.